DFT (PBE) results for a relaxed SrAgTe2 crystal.

a b c (Å): 5.822 5.822 5.822
angles (deg): 134.44 116.03 82.02
Fractional coordinates of all 4 atoms:
Sr  0.000  0.000  0.000
Ag  0.500  0.500  0.000
Te  0.291  0.791  0.500
Te  0.709  0.209  0.500

Results
ΔE_f (raw)	-663.3	meV/atom
calculated total energy	-3.367	eV per atom
calculated density	6.13	g/cm³



DFT (PBE) results for a relaxed SbOsPt2 crystal.

a b c (Å): 4.708 4.708 4.913
angles (deg): 101.26 101.26 39.41
Fractional coordinates of all 4 atoms:
Sb  0.000  0.000  0.000
Os  0.252  0.252  0.741
Pt  0.505  0.505  0.508
Pt  0.754  0.754  0.266

Results
ΔE_f (raw)	236.9	meV/atom
calculated total energy	-6.622	eV per atom
calculated density	17.24	g/cm³



DFT (PBE) results for a relaxed Li4PdAu crystal.

a b c (Å): 2.781 4.611 7.329
angles (deg): 90.00 90.00 90.00
Fractional coordinates of all 6 atoms:
Li  0.000  0.000  0.176
Li  0.000  0.000  0.824
Li  0.500  0.500  0.311
Li  0.500  0.500  0.689
Pd  0.000  0.500  0.000
Au  0.500  0.000  0.500

Results
calculated total energy	-3.045	eV per atom
calculated density	5.85	g/cm³
E above lowest polymorph	46	meV per atom



DFT (PBE) results for a relaxed Cd2InPb5 crystal.

a b c (Å): 6.735 6.735 6.735
angles (deg): 108.88 108.88 110.66
Fractional coordinates of all 8 atoms:
Cd  0.000  0.500  0.500
Cd  0.500  0.000  0.500
In  0.499  0.499  0.000
Pb  0.000  0.000  0.000
Pb  0.000  0.000  0.500
Pb  0.000  0.500  0.000
Pb  0.500  0.000  0.000
Pb  0.500  0.500  0.500

Results
calculated total energy	-2.833	eV per atom
calculated density	9.71	g/cm³
E above lowest polymorph	7	meV per atom